No. 1
A plane-wave DFT calculation with PBE was carried out for a geometry-optimized Tb3GaPd structure.

Calculated values
* total moment: 0.000 μB per cell
* formation enthalpy at 0 K: -0.47 eV/atom

Cell lengths 11.8758, 10.9459, 8.0476 Å; angles 90.00, 90.09, 90.00 degrees
Space group C2/c (No. 15)
Asymmetric unit:
Tb 0.0970 0.0998 0.4172 (multiplicity 8)
Tb 0.0991 0.4016 0.5830 (multiplicity 8)
Tb 0.2500 0.1739 0.8000 (multiplicity 8)
Ga 0.0000 0.1623 0.7500 (multiplicity 4)
Ga 0.0000 0.3395 0.2500 (multiplicity 4)
Pd 0.2478 0.0592 0.1269 (multiplicity 8)

---

No. 2
A plane-wave DFT calculation with PBE was carried out for a geometry-optimized Tb8GaPd2 structure.

Calculated values
* energy above the lowest structure with this stoichiometry: 116 meV per atom
* total moment: 0.012 μB per cell
* formation enthalpy at 0 K: -0.31 eV/atom

Cell lengths 8.5357, 13.4192, 5.6210 Å; angles 90.00, 106.63, 90.00 degrees
Space group Cm (No. 8)
Asymmetric unit:
Tb 0.0000 0.0000 0.0000 (multiplicity 2)
Tb 0.0934 0.3746 0.7989 (multiplicity 4)
Tb 0.1756 0.1246 0.6020 (multiplicity 4)
Tb 0.2552 0.5000 0.3754 (multiplicity 2)
Tb 0.3873 0.2288 0.1912 (multiplicity 4)
Ga 0.3808 0.0000 0.0964 (multiplicity 2)
Pd 0.3817 0.3041 0.6871 (multiplicity 4)

---

No. 3
A plane-wave DFT calculation with PBE was carried out for a geometry-optimized TbGa3Pd3 structure.

Calculated values
* energy above the lowest structure with this stoichiometry: 0 meV per atom
* total moment: 0.000 μB per cell
* formation enthalpy at 0 K: -0.65 eV/atom

Cell lengths 6.8994, 6.8994, 18.3111 Å; angles 90.00, 90.00, 120.00 degrees
Space group R-3 (No. 148, hexagonal axes)
Asymmetric unit:
Tb 0.0000 0.0000 0.1611 (multiplicity 6)
Ga 0.0230 0.6095 0.3764 (multiplicity 18)
Pd 0.0075 0.7622 0.5690 (multiplicity 18)

---

No. 4
A plane-wave DFT calculation with PBE was carried out for a geometry-optimized Tb2Ga5Pd structure.

Calculated values
* total moment: 0.000 μB per cell
* formation enthalpy at 0 K: -0.58 eV/atom

Cell lengths 6.0201, 6.0201, 8.5265 Å; angles 90.00, 90.00, 90.00 degrees
Space group I4mm (No. 107)
Asymmetric unit:
Tb 0.0000 0.5000 0.0000 (multiplicity 4)
Ga 0.0000 0.0000 0.0061 (multiplicity 2)
Ga 0.2474 0.2474 0.7502 (multiplicity 8)
Pd 0.0000 0.0000 0.4957 (multiplicity 2)

---

No. 5
A plane-wave DFT calculation with PBE was carried out for a geometry-optimized TbGa3Pd structure.

Calculated values
* energy above the lowest structure with this stoichiometry: 10 meV per atom
* total moment: 0.000 μB per cell
* formation enthalpy at 0 K: -0.66 eV/atom

Cell lengths 8.2799, 4.2431, 10.8231 Å; angles 90.00, 90.00, 90.00 degrees
Space group Pnma (No. 62)
Asymmetric unit:
Tb 0.1956 0.2500 0.0153 (multiplicity 4)
Ga 0.0728 0.2500 0.5946 (multiplicity 4)
Ga 0.1079 0.7500 0.8172 (multiplicity 4)
Ga 0.1318 0.7500 0.2099 (multiplicity 4)
Pd 0.0934 0.2500 0.3547 (multiplicity 4)

---

No. 6
A plane-wave DFT calculation with PBE was carried out for a geometry-optimized Tb4Ga12Pd structure.

Calculated values
* total moment: 0.000 μB per cell
* formation enthalpy at 0 K: -0.62 eV/atom

Cell lengths 8.6453, 8.6453, 8.6453 Å; angles 90.00, 90.00, 90.00 degrees
Space group Im-3m (No. 229)
Asymmetric unit:
Tb 0.2500 0.2500 0.2500 (multiplicity 8)
Ga 0.0000 0.0000 0.2964 (multiplicity 12)
Ga 0.0000 0.2500 0.5000 (multiplicity 12)
Pd 0.0000 0.0000 0.0000 (multiplicity 2)

---

No. 7
A plane-wave DFT calculation with PBE was carried out for a geometry-optimized Tb2Ga9Pd6 structure.

Calculated values
* total moment: 0.000 μB per cell
* formation enthalpy at 0 K: -0.56 eV/atom

Cell lengths 5.3563, 5.3563, 12.8100 Å; angles 90.00, 90.00, 120.00 degrees
Space group P6/mmm (No. 191)
Asymmetric unit:
Tb 0.0000 0.0000 0.1533 (multiplicity 2)
Ga 0.0000 0.5000 0.0000 (multiplicity 3)
Ga 0.0000 0.5000 0.3389 (multiplicity 6)
Pd 0.3333 0.6667 0.1718 (multiplicity 4)
Pd 0.3333 0.6667 0.5000 (multiplicity 2)

---

No. 8
A plane-wave DFT calculation with PBE was carried out for a geometry-optimized TbGaPd5 structure.

Calculated values
* total moment: 0.000 μB per cell
* formation enthalpy at 0 K: -0.39 eV/atom

Cell lengths 10.6843, 7.5202, 7.2238 Å; angles 90.00, 116.54, 90.00 degrees
Space group C2/c (No. 15)
Asymmetric unit:
Tb 0.0000 0.0184 0.2500 (multiplicity 4)
Ga 0.2500 0.2500 0.5000 (multiplicity 4)
Pd 0.0000 0.3855 0.2500 (multiplicity 4)
Pd 0.0850 0.2941 0.6511 (multiplicity 8)
Pd 0.2040 0.4061 0.0673 (multiplicity 8)

---

Among the records above, which one has the lowest formation enthalpy at 0 K? TbGa3Pd